[1]
# Tl2TcB | OQMD via LeMat-Bulk | PBE | relaxed
# E   -3.854 eV/atom
data_Tl2TcB
_symmetry_space_group_name_H-M 'F -4 3 m'
_symmetry_Int_Tables_number 216
_symmetry_space_group_name_Hall 'F -4 2 3'
_cell_length_a 6.664
_cell_length_b 6.664
_cell_length_c 6.664
_cell_angle_alpha 90.00
_cell_angle_beta 90.00
_cell_angle_gamma 90.00
loop_
_atom_site_label
_atom_site_fract_x
_atom_site_fract_y
_atom_site_fract_z
Tl1 0.000 0.000 0.000
Tl2 0.250 0.250 0.250
Tc1 0.000 0.000 0.500
B1 0.250 0.250 0.750



[2]
# ZnCd2P2O8 | OQMD via LeMat-Bulk | PBE | relaxed
# E   -5.948 eV/atom
data_ZnCd2P2O8
_symmetry_space_group_name_H-M 'P -1'
_symmetry_Int_Tables_number 2
_cell_length_a 4.819
_cell_length_b 5.579
_cell_length_c 6.722
_cell_angle_alpha 74.38
_cell_angle_beta 84.79
_cell_angle_gamma 69.78
loop_
_symmetry_equiv_pos_as_xyz
'x,y,z'
'-x,-y,-z'
loop_
_atom_site_label
_atom_site_fract_x
_atom_site_fract_y
_atom_site_fract_z
Zn1 0.000 0.000 0.000
Cd1 0.291 0.278 0.317
P1 0.370 0.326 0.787
O1 0.206 0.614 0.672
O2 0.228 0.236 0.998
O3 0.309 0.690 0.174
O4 0.366 0.133 0.658



[3]
# ErTcPO | OQMD via LeMat-Bulk | PBE | relaxed
# E above lowest polymorph   0.439 eV per atom
data_ErTcPO
_symmetry_space_group_name_H-M 'P m c 21'
_symmetry_Int_Tables_number 26
_cell_length_a 4.405
_cell_length_b 4.333
_cell_length_c 6.236
_cell_angle_alpha 90.00
_cell_angle_beta 90.00
_cell_angle_gamma 90.00
loop_
_symmetry_equiv_pos_as_xyz
'x,y,z'
'-x,-y,z+1/2'
'-x,y,z'
'x,-y,z+1/2'
loop_
_atom_site_label
_atom_site_fract_x
_atom_site_fract_y
_atom_site_fract_z
Er1 0.000 0.191 0.000
Tc1 0.500 0.346 0.351
P1 0.500 0.157 0.700
O1 0.000 0.332 0.344



[4]
# NaReNO | OQMD via LeMat-Bulk | PBE | relaxed
# E above lowest polymorph   0.000 eV per atom
data_NaReNO
_symmetry_space_group_name_H-M 'P m c 21'
_symmetry_Int_Tables_number 26
_cell_length_a 3.558
_cell_length_b 5.656
_cell_length_c 5.265
_cell_angle_alpha 90.00
_cell_angle_beta 90.00
_cell_angle_gamma 90.00
loop_
_symmetry_equiv_pos_as_xyz
'x,y,z'
'-x,-y,z+1/2'
'-x,y,z'
'x,-y,z+1/2'
loop_
_atom_site_label
_atom_site_fract_x
_atom_site_fract_y
_atom_site_fract_z
Na1 0.000 0.108 0.000
Re1 0.500 0.419 0.416
N1 0.000 0.313 0.404
O1 0.500 0.261 0.785



| no. | calculated volume (Å³ per atom) |
| --- | --- |
| 1 | 18.50 |
| 2 | 12.56 |
| 3 | 14.88 |
| 4 | 13.24 |